Below is a relaxed structure of KCoMo, with properties calculated at the PBE-GGA level.

Unit cell a=2.8945 b=2.8945 c=7.7960 alpha=90.00 beta=90.00 gamma=120.00
Space group P3m1 (No. 156)
Inequivalent atoms, fractional coordinates:
K (0.0000, 0.0000, 0.0000) x1
Co (0.3333, 0.6667, 0.6402) x1
Mo (0.6667, 0.3333, 0.4083) x1

Output
Electronic total energy = -0.39204 Ry per atom
ΔE to the lowest computed polymorph = 0.154 eV per atom
Energy relative to the elements = 3.03 eV per formula unit
Total magnetization = 0.65 Bohr magnetons per cell